Record 1
The following is a DFT calculation (PBE) of crystalline Ta4Ni3W2N3 at its relaxed geometry.

The total magnetization comes out at 0.120 μB/cell. As for the crystal system: monoclinic. The electronic total energy is -118.749 eV per formula unit.

It has space group C2/c (No. 15), with a = 8.873 Å, b = 5.152 Å, c = 13.945 Å, α = 90.00°, β = 102.41° and γ = 90.00°. The distinct sites, in fractional coordinates, are Ta at (0.112, 0.097, 0.088), Ta at (0.226, 0.080, 0.411), Ni at (0.000, 0.081, 0.250), Ni at (0.248, 0.340, 0.253), W at (0.028, 0.413, 0.839), N at (0.083, 0.251, 0.501) and N at (0.250, 0.250, 0.000).

***

Record 2
The following is a DFT calculation (PBE) of crystalline Y2Ta4Ni3N3 at its relaxed geometry.

The total magnetization comes out at 0.100 μB/cell. As for the crystal system: monoclinic. The electronic total energy is -111.352 eV per formula unit.

It has space group C2/c (No. 15), with a = 9.420 Å, b = 5.445 Å, c = 13.627 Å, α = 90.00°, β = 103.49° and γ = 90.00°. The distinct sites, in fractional coordinates, are Y at (0.041, 0.083, 0.376), Ta at (0.112, 0.409, 0.588), Ta at (0.225, 0.418, 0.912), Ni at (0.000, 0.420, 0.750), Ni at (0.247, 0.161, 0.751), N at (0.083, 0.250, 0.000) and N at (0.250, 0.250, 0.500).

***

Record 3
The following is a DFT calculation (PBE) of crystalline Zr2Ta4Ni3N3 at its relaxed geometry.

The total magnetization comes out at 0.243 μB/cell. As for the crystal system: monoclinic. The electronic total energy is -115.288 eV per formula unit.

It has space group C2/c (No. 15), with a = 9.265 Å, b = 5.328 Å, c = 13.562 Å, α = 90.00°, β = 103.27° and γ = 90.00°. The distinct sites, in fractional coordinates, are Zr at (0.041, 0.083, 0.378), Ta at (0.112, 0.410, 0.590), Ta at (0.223, 0.417, 0.911), Ni at (0.000, 0.424, 0.750), Ni at (0.245, 0.159, 0.751), N at (0.080, 0.240, 0.000) and N at (0.250, 0.250, 0.500).

***

Record 4
The following is a DFT calculation (PBE) of crystalline Tb2NiN3 at its relaxed geometry.

The total magnetization comes out at 1.927 μB/cell. As for the crystal system: orthorhombic. The electronic total energy is -45.790 eV per formula unit.

It has space group Immm (No. 71), with a = 3.392 Å, b = 3.641 Å, c = 12.271 Å, α = 90.00°, β = 90.00° and γ = 90.00°. The distinct sites, in fractional coordinates, are Tb at (0.000, 0.000, 0.149), Ni at (0.000, 0.000, 0.500), N at (0.000, 0.000, 0.337) and N at (0.000, 0.500, 0.500).

***

Record 5
The following is a DFT calculation (PBE) of crystalline TlNi3N5 at its relaxed geometry.

The total magnetization comes out at 0.664 μB/cell. As for the crystal system: hexagonal. The electronic total energy is -49.395 eV per formula unit.

It has space group P6/mmm (No. 191), with a = 4.6630 Å, b = 4.6630 Å, c = 5.9012 Å, α = 90.00°, β = 90.00° and γ = 120.00°. The distinct sites, in fractional coordinates, are Tl at (0.0000, 0.0000, 0.0000), Ni at (0.0000, 0.5000, 0.5000), N at (0.0000, 0.0000, 0.5000) and N at (0.3333, 0.6667, 0.2775).

***

Record 6
The following is a DFT calculation (PBE) of crystalline Zr4TlNiN2 at its relaxed geometry.

The total magnetization comes out at 0.157 μB/cell. As for the crystal system: hexagonal. The electronic total energy is -66.083 eV per formula unit.

It has space group P-6m2 (No. 187), with a = 3.2960 Å, b = 3.2960 Å, c = 13.9547 Å, α = 90.00°, β = 90.00° and γ = 120.00°. The distinct sites, in fractional coordinates, are Zr at (0.0000, 0.0000, 0.1382), Zr at (0.6667, 0.3333, 0.3211), Tl at (0.0000, 0.0000, 0.5000), Ni at (0.6667, 0.3333, 0.0000) and N at (0.3333, 0.6667, 0.2320).

***

Record 7
The following is a DFT calculation (PBE) of crystalline NiW2N at its relaxed geometry.

The total magnetization comes out at 0.009 μB/cell. As for the crystal system: hexagonal. The electronic total energy is -39.332 eV per formula unit.

It has space group P6_3/mmc (No. 194), with a = 2.7929 Å, b = 2.7929 Å, c = 14.3531 Å, α = 90.00°, β = 90.00° and γ = 120.00°. The distinct sites, in fractional coordinates, are Ni at (0.3333, 0.6667, 0.2500), W at (0.3333, 0.6667, 0.6017) and N at (0.0000, 0.0000, 0.0000).

***

Record 8
The following is a DFT calculation (PBE) of crystalline NiW2N at its relaxed geometry.

The total magnetization comes out at 1.543 μB/cell. As for the crystal system: monoclinic. The electronic total energy is -39.696 eV per formula unit.

It has space group C2/c (No. 15), with a = 8.499 Å, b = 4.944 Å, c = 14.337 Å, α = 90.00°, β = 102.57° and γ = 90.00°. The distinct sites, in fractional coordinates, are Ni at (0.000, 0.090, 0.250), Ni at (0.248, 0.168, 0.751), W at (0.033, 0.415, 0.839), W at (0.111, 0.083, 0.090), W at (0.224, 0.083, 0.411), N at (0.080, 0.260, 0.498) and N at (0.250, 0.250, 0.000).

***

The V results, record by record, are as follows: 156 170 163 76 111 131 48 49 Å³/f.u..